An optimized crystal structure of HfNiHIr2, computed with PBE.

Cell lengths 4.0120, 4.0120, 3.8355 Å; angles 90.00, 90.00, 90.00 degrees
Fractional positions:
Ni: 0.0000 0.0000 0.5000
Ir: 0.0000 0.5000 0.0000
Ir: 0.5000 0.0000 0.0000
Hf: 0.5000 0.5000 0.5000
H: 0.0000 0.0000 0.0000

Its energy relative to the lowest polymorph listed for this composition is 0 meV per atom. The density of states at the Fermi level comes out at 4.209 states/eV/cell. For the total energy, the calculation gives -7.90 eV per atom. The calculation puts the total magnetization at 0.0 Bohr magnetons per cell. Its symmetry is P4/mmm (123).



An optimized crystal structure of SeBr2O, computed with PBE.

Cell lengths 8.1081, 8.1081, 8.1081 Å; angles 27.29, 27.29, 27.29 degrees
Fractional positions:
O: 0.0000 0.0000 0.0000
Se: 0.5000 0.5000 0.5000
Br: 0.9153 0.9153 0.9153
Br: 0.0847 0.0847 0.0847

The density of states at the Fermi level comes out at 0.973 states/eV/cell. For the total energy, the calculation gives -2.35 eV per atom. The calculation puts the total magnetization at 0.0 Bohr magnetons per cell. Its symmetry is R-3m (166).



An optimized crystal structure of Zr6In2H, computed with PBE.

Cell lengths 6.1717, 5.9847, 10.1263 Å; angles 90.00, 89.76, 90.00 degrees
Fractional positions:
Zr: 0.8760 0.0256 0.2521
Zr: 0.8569 0.7032 0.5124
Zr: 0.8723 0.7405 0.9847
Zr: 0.6277 0.2405 0.5153
Zr: 0.6431 0.2032 0.9876
Zr: 0.6240 0.5256 0.2479
Zr: 0.1240 0.9744 0.7479
Zr: 0.1431 0.2968 0.4876
Zr: 0.1277 0.2595 0.0153
Zr: 0.3723 0.7595 0.4847
Zr: 0.3569 0.7968 0.0124
Zr: 0.3760 0.4744 0.7521
In: 0.8918 0.4244 0.7548
In: 0.6082 0.9244 0.7452
In: 0.3918 0.0756 0.2548
In: 0.1082 0.5756 0.2452
H: 0.5000 0.5000 0.0000
H: 0.0000 0.0000 0.5000

Its energy relative to the lowest polymorph listed for this composition is 161 meV per atom. The density of states at the Fermi level comes out at 20.556 states/eV/cell. For the total energy, the calculation gives -6.83 eV per atom. The calculation puts the total magnetization at 0.0 Bohr magnetons per cell. Its symmetry is P2_1/c (14).



An optimized crystal structure of ReB, computed with PBE.

Cell lengths 2.9784, 8.2704, 6.1099 Å; angles 90.00, 90.00, 90.00 degrees
Fractional positions:
Re: 0.0000 0.2570 0.8797
Re: 0.0000 0.7430 0.8797
Re: 0.0000 0.7570 0.3797
Re: 0.0000 0.2430 0.3797
Re: 0.5000 0.0000 0.6297
Re: 0.5000 0.5000 0.1297
B: 0.5000 0.7214 0.6260
B: 0.5000 0.2786 0.6260
B: 0.5000 0.2214 0.1260
B: 0.5000 0.7786 0.1260
B: 0.0000 0.0000 0.3608
B: 0.0000 0.5000 0.8608

Its formation energy from the elements is 0.245 eV per atom. The density of states at the Fermi level comes out at 5.282 states/eV/cell. For the total energy, the calculation gives -9.32 eV per atom. The calculation puts the total magnetization at 0.0 Bohr magnetons per cell. Its symmetry is Amm2 (38).



An optimized crystal structure of CsH3Pd2, computed with PBE.

Cell lengths 5.4156, 6.8410, 6.8410 Å; angles 103.58, 90.00, 90.00 degrees
Fractional positions:
Cs: 0.7500 0.2944 0.7056
Cs: 0.2500 0.7056 0.2944
H: 0.2500 0.0055 0.9945
H: 0.2500 0.6899 0.7290
H: 0.7500 0.7290 0.6899
H: 0.2500 0.2710 0.3101
H: 0.7500 0.3101 0.2710
H: 0.7500 0.9945 0.0055
Pd: 0.0000 0.8364 0.8364
Pd: 0.5000 0.8364 0.8364
Pd: 0.0000 0.1636 0.1636
Pd: 0.5000 0.1636 0.1636

For the total energy, the calculation gives -3.72 eV per atom. The calculation puts the total magnetization at 0.0 Bohr magnetons per cell. Its symmetry is Cmcm (63).



An optimized crystal structure of Sr3Bi5, computed with PBE.

Cell lengths 6.9228, 8.9120, 10.9257 Å; angles 82.93, 71.53, 67.15 degrees
Fractional positions:
Sr: 0.9569 0.3794 0.6601
Sr: 0.6637 0.3794 0.3399
Sr: 0.8669 0.8794 0.8399
Sr: 0.2536 0.8794 0.1601
Sr: 0.5485 0.9030 0.5000
Sr: 0.2985 0.4030 0.0000
Bi: 0.4681 0.7208 0.8306
Bi: 0.8111 0.7208 0.1694
Bi: 0.5487 0.2208 0.6694
Bi: 0.2305 0.2208 0.3306
Bi: 0.7184 0.1047 0.1171
Bi: 0.1769 0.1047 0.8829
Bi: 0.0855 0.6047 0.3829
Bi: 0.3098 0.6047 0.6171
Bi: 0.0149 0.9702 0.5000
Bi: 0.7649 0.4702 0.0000

Its formation energy from the elements is -0.635 eV per atom. The density of states at the Fermi level comes out at 7.878 states/eV/cell. For the total energy, the calculation gives -3.69 eV per atom. The calculation puts the total magnetization at 0.0 Bohr magnetons per cell. Its symmetry is Fdd2 (43).



An optimized crystal structure of BeNbAg, computed with PBE.

Cell lengths 7.1277, 2.7800, 4.7154 Å; angles 90.62, 78.00, 80.55 degrees
Fractional positions:
Be: 0.2108 0.2548 0.7089
Be: 0.7981 0.4260 0.3515
Nb: 0.1212 0.6851 0.2464
Nb: 0.8874 0.9955 0.8142
Ag: 0.5019 0.6045 0.7823
Ag: 0.5066 0.0754 0.2790

Its formation energy from the elements is 0.149 eV per atom. Its energy relative to the lowest polymorph listed for this composition is 166 meV per atom. The density of states at the Fermi level comes out at 4.082 states/eV/cell. For the total energy, the calculation gives -5.40 eV per atom. The calculation puts the total magnetization at 0.0 Bohr magnetons per cell. Its symmetry is P-1 (2).



An optimized crystal structure of SmEr7In4, computed with PBE.

Cell lengths 5.6209, 9.2117, 7.7293 Å; angles 75.53, 68.68, 72.24 degrees
Fractional positions:
Sm: 0.0000 0.0000 0.0000
Er: 0.7878 0.8760 0.5484
Er: 0.2122 0.1240 0.4516
Er: 0.0635 0.6034 0.2696
Er: 0.9365 0.3966 0.7304
Er: 0.2822 0.6578 0.7779
Er: 0.5000 0.0000 0.0000
Er: 0.7178 0.3422 0.2221
In: 0.5620 0.2397 0.6363
In: 0.4380 0.7603 0.3637
In: 0.6816 0.6661 0.9708
In: 0.3184 0.3339 0.0292

Its formation energy from the elements is -0.083 eV per atom. The density of states at the Fermi level comes out at 11.935 states/eV/cell. For the total energy, the calculation gives -4.05 eV per atom. The calculation puts the total magnetization at 0.0 Bohr magnetons per cell. Its symmetry is C2/m (12).



An optimized crystal structure of PmDy2Cd, computed with PBE.

Cell lengths 3.5957, 3.5957, 11.0351 Å; angles 80.62, 80.62, 60.00 degrees
Fractional positions:
Cd: 0.0000 0.0000 0.0000
Pm: 0.5000 0.5000 0.5000
Dy: 0.2565 0.2565 0.2306
Dy: 0.7435 0.7435 0.7694

Its formation energy from the elements is -0.079 eV per atom. Its energy relative to the lowest polymorph listed for this composition is 72 meV per atom. The density of states at the Fermi level comes out at 4.132 states/eV/cell. For the total energy, the calculation gives -3.80 eV per atom. The calculation puts the total magnetization at 0.0 Bohr magnetons per cell. Its symmetry is R-3m (166).



An optimized crystal structure of La2CrRu, computed with PBE.

Cell lengths 4.1806, 4.1806, 8.2476 Å; angles 83.87, 83.87, 48.95 degrees
Fractional positions:
Cr: 0.2500 0.2500 0.2500
La: 0.0018 0.0018 0.9582
La: 0.4982 0.4982 0.5418
Ru: 0.7500 0.7500 0.7500

Its formation energy from the elements is 0.341 eV per atom. Its energy relative to the lowest polymorph listed for this composition is 156 meV per atom. The density of states at the Fermi level comes out at 3.169 states/eV/cell. For the total energy, the calculation gives -6.85 eV per atom. The calculation puts the total magnetization at 4.5 Bohr magnetons per cell. Its symmetry is C2/m (12).



An optimized crystal structure of Cd2AgSn, computed with PBE.

Cell lengths 3.2496, 3.2496, 10.1776 Å; angles 80.81, 80.81, 60.00 degrees
Fractional positions:
Cd: 0.0753 0.0753 0.7740
Cd: 0.2578 0.2578 0.2265
Ag: 0.6665 0.6665 0.0006
Sn: 0.5004 0.5004 0.4989

Its formation energy from the elements is 0.047 eV per atom. The density of states at the Fermi level comes out at 1.941 states/eV/cell. For the total energy, the calculation gives -2.12 eV per atom. The calculation puts the total magnetization at 0.0 Bohr magnetons per cell. Its symmetry is R3m (160).



An optimized crystal structure of RbScBO4, computed with PBE.

Cell lengths 5.0335, 5.4463, 7.4670 Å; angles 90.00, 109.04, 90.00 degrees
Fractional positions:
Rb: 0.7116 0.7500 0.9372
Rb: 0.2884 0.2500 0.0628
Sc: 0.7935 0.7500 0.4626
Sc: 0.2065 0.2500 0.5374
B: 0.2379 0.7500 0.3509
B: 0.7621 0.2500 0.6491
O: 0.9485 0.4673 0.6666
O: 0.0515 0.9673 0.3334
O: 0.0515 0.5327 0.3334
O: 0.9485 0.0327 0.6666
O: 0.4160 0.7500 0.2305
O: 0.5840 0.2500 0.7695
O: 0.4255 0.7500 0.5515
O: 0.5745 0.2500 0.4485

The density of states at the Fermi level comes out at 1.483 states/eV/cell. For the total energy, the calculation gives -7.22 eV per atom. The calculation puts the total magnetization at 2.0 Bohr magnetons per cell. Its symmetry is P2_1/m (11).